First-principles (GGA-PBE) data for a relaxed structure of KCa3Ag4Br12, as listed in Alexandria via LeMat-Bulk.

Unit cell a=9.568 b=9.568 c=9.568 alpha=106.28 beta=106.28 gamma=106.28
Positions (direct):
K 0.000 0.000 0.000
Ca 0.000 0.567 0.433
Ca 0.433 0.000 0.567
Ca 0.567 0.433 0.000
Ag 0.088 0.500 0.912
Ag 0.500 0.500 0.500
Ag 0.500 0.912 0.088
Ag 0.912 0.088 0.500
Br 0.017 0.664 0.757
Br 0.092 0.908 0.500
Br 0.243 0.336 0.983
Br 0.331 0.669 0.500
Br 0.336 0.983 0.243
Br 0.500 0.092 0.908
Br 0.500 0.331 0.669
Br 0.664 0.757 0.017
Br 0.669 0.500 0.331
Br 0.757 0.017 0.664
Br 0.908 0.500 0.092
Br 0.983 0.243 0.336

Values from the calculation:
The crystal system is trigonal. The uncorrected formation energy comes out at -1.166 eV per atom. The uncorrected energy is -3.09 eV/atom. For the mass density, the calculation gives 3.462 g cm⁻³.

***

First-principles (GGA-PBE) data for a relaxed structure of Zr2IrN, as listed in Alexandria via LeMat-Bulk.

Unit cell a=5.795 b=5.795 c=5.795 alpha=115.62 beta=115.62 gamma=97.76
Positions (direct):
Zr 0.057 0.125 0.432
Zr 0.375 0.943 0.068
Zr 0.693 0.625 0.568
Zr 0.875 0.307 0.932
Ir 0.250 0.750 0.500
Ir 0.500 0.500 0.000
N 0.000 0.000 0.000
N 0.750 0.250 0.500

Values from the calculation:
The crystal system is tetragonal. The uncorrected formation energy comes out at -0.790 eV per atom. The uncorrected energy is -9.36 eV/atom. For the mass density, the calculation gives 8.886 g cm⁻³.

***

First-principles (GGA-PBE) data for a relaxed structure of HoZr2In2, as listed in Alexandria via LeMat-Bulk.

Unit cell a=4.841 b=4.841 c=6.439 alpha=90.00 beta=90.00 gamma=116.23
Positions (direct):
Ho 0.000 0.000 0.000
Zr 0.176 0.824 0.500
Zr 0.824 0.176 0.500
In 0.500 0.500 0.267
In 0.500 0.500 0.733

Values from the calculation:
The formation enthalpy at 0 K is 0.064 eV/atom. The crystal system is orthorhombic. The uncorrected energy is -5.37 eV/atom. For the mass density, the calculation gives 7.078 g cm⁻³.